1.
Density functional theory data (GGA-PBE) for a geometry-optimized Ho6Tl5H structure.

Values from the calculation:
* calculated volume: 27.6 Å³ per atom
* magnetic moment: 0.000 μB/cell
* electronic total energy: -3.716 eV per atom

Unit cell a=6.577 b=11.088 c=9.227 alpha=90.00 beta=99.93 gamma=90.00
Space group C2/m (No. 12)
Symmetry-distinct sites (fractional):
Ho: 0.197 0.000 0.337 (multiplicity 4)
Ho: 0.220 0.328 0.240 (multiplicity 8)
Tl: 0.000 0.141 0.000 (multiplicity 4)
Tl: 0.000 0.289 0.500 (multiplicity 4)
Tl: 0.000 0.500 0.000 (multiplicity 2)
H: 0.000 0.000 0.500 (multiplicity 2)

=====

2.
Density functional theory data (GGA-PBE) for a geometry-optimized Sm2Zn3Ge structure.

Values from the calculation:
* calculated volume: 21.2 Å³ per atom
* magnetic moment: 0.000 μB/cell
* E above lowest polymorph: 0.000 eV/atom
* energy of formation from the pure elements: -0.53 eV per atom

Unit cell a=7.475 b=8.868 c=15.331 alpha=90.00 beta=90.00 gamma=90.00
Space group Fmmm (No. 69)
Symmetry-distinct sites (fractional):
Sm: 0.246 0.000 0.000 (multiplicity 8)
Sm: 0.250 0.250 0.250 (multiplicity 8)
Zn: 0.000 0.000 0.166 (multiplicity 8)
Zn: 0.000 0.250 0.082 (multiplicity 16)
Ge: 0.000 0.000 0.334 (multiplicity 8)

=====

3.
Density functional theory data (GGA-PBE) for a geometry-optimized YBe6Pd6 structure.

Values from the calculation:
* calculated volume: 12.8 Å³ per atom
* magnetic moment: 0.000 μB/cell
* energy of formation from the pure elements: -0.53 eV per atom

Unit cell a=4.890 b=8.183 c=8.286 alpha=90.00 beta=90.00 gamma=90.00
Space group Immm (No. 71)
Symmetry-distinct sites (fractional):
Y: 0.000 0.000 0.000 (multiplicity 2)
Be: 0.000 0.255 0.500 (multiplicity 4)
Be: 0.250 0.250 0.250 (multiplicity 8)
Pd: 0.000 0.000 0.340 (multiplicity 4)
Pd: 0.000 0.337 0.000 (multiplicity 4)
Pd: 0.000 0.500 0.319 (multiplicity 4)

=====

4.
Density functional theory data (GGA-PBE) for a geometry-optimized BeAlAs2 structure.

Values from the calculation:
* calculated volume: 16.7 Å³ per atom
* magnetic moment: 0.000 μB/cell
* E above lowest polymorph: 0.431 eV/atom
* energy of formation from the pure elements: 0.26 eV per atom

Unit cell a=3.552 b=5.272 c=7.144 alpha=90.00 beta=90.00 gamma=90.00
Space group Immm (No. 71)
Symmetry-distinct sites (fractional):
Be: 0.000 0.000 0.000 (multiplicity 2)
Al: 0.000 0.000 0.500 (multiplicity 2)
As: 0.000 0.500 0.286 (multiplicity 4)

=====

5.
Density functional theory data (GGA-PBE) for a geometry-optimized MgCo3Pb structure.

Values from the calculation:
* calculated volume: 17.7 Å³ per atom
* magnetic moment: 4.222 μB/cell
* E above lowest polymorph: 0.000 eV/atom
* energy of formation from the pure elements: 1.23 eV per atom

Unit cell a=4.452 b=4.452 c=4.452 alpha=90.00 beta=90.00 gamma=90.00
Space group Pm-3m (No. 221)
Symmetry-distinct sites (fractional):
Mg: 0.000 0.000 0.000 (multiplicity 1)
Co: 0.000 0.000 0.500 (multiplicity 3)
Pb: 0.500 0.500 0.500 (multiplicity 1)

=====

6.
Density functional theory data (GGA-PBE) for a geometry-optimized CsMnCu2Cl6 structure.

Values from the calculation:
* calculated volume: 31.4 Å³ per atom
* magnetic moment: 15.960 μB/cell
* formation energy (no corrections): -0.97 eV per atom

Unit cell a=14.301 b=12.536 c=7.681 alpha=90.00 beta=114.16 gamma=90.00
Space group C2/c (No. 15)
Symmetry-distinct sites (fractional):
Cs: 0.000 0.126 0.250 (multiplicity 4)
Mn: 0.000 0.265 0.750 (multiplicity 4)
Cu: 0.215 0.440 0.191 (multiplicity 8)
Cl: 0.058 0.353 0.037 (multiplicity 8)
Cl: 0.122 0.141 0.749 (multiplicity 8)
Cl: 0.226 0.430 0.497 (multiplicity 8)

=====

7.
Density functional theory data (GGA-PBE) for a geometry-optimized SrSm3Mg4 structure.

Values from the calculation:
* calculated volume: 30.2 Å³ per atom
* magnetic moment: 0.000 μB/cell
* energy of formation from the pure elements: -0.07 eV per atom

Unit cell a=3.901 b=5.557 c=11.134 alpha=90.00 beta=90.00 gamma=90.00
Space group Pmmm (No. 47)
Symmetry-distinct sites (fractional):
Sr: 0.000 0.000 0.000 (multiplicity 1)
Sm: 0.000 0.000 0.500 (multiplicity 1)
Sm: 0.000 0.500 0.256 (multiplicity 2)
Mg: 0.500 0.000 0.262 (multiplicity 2)
Mg: 0.500 0.500 0.000 (multiplicity 1)
Mg: 0.500 0.500 0.500 (multiplicity 1)

=====

8.
Density functional theory data (GGA-PBE) for a geometry-optimized Pm7Sm4Pu structure.

Values from the calculation:
* calculated volume: 34.0 Å³ per atom
* magnetic moment: 12.677 μB/cell
* energy of formation from the pure elements: 0.17 eV per atom

Unit cell a=11.474 b=5.515 c=13.336 alpha=90.00 beta=104.82 gamma=90.00
Space group C2/m (No. 12)
Symmetry-distinct sites (fractional):
Pm: 0.000 0.000 0.000 (multiplicity 2)
Pm: 0.043 0.500 0.791 (multiplicity 4)
Pm: 0.139 0.500 0.462 (multiplicity 4)
Pm: 0.243 0.000 0.897 (multiplicity 4)
Sm: 0.089 0.000 0.630 (multiplicity 4)
Sm: 0.173 0.000 0.271 (multiplicity 4)
Pu: 0.000 0.500 0.000 (multiplicity 2)

=====

9.
Density functional theory data (GGA-PBE) for a geometry-optimized InBSb2 structure.

Values from the calculation:
* calculated volume: 25.9 Å³ per atom
* magnetic moment: 0.000 μB/cell
* E above lowest polymorph: 0.000 eV/atom
* formation energy (no corrections): 0.25 eV per atom

Unit cell a=6.047 b=6.047 c=11.340 alpha=90.00 beta=90.00 gamma=90.00
Space group I-42d (No. 122)
Symmetry-distinct sites (fractional):
In: 0.000 0.000 0.000 (multiplicity 4)
B: 0.000 0.000 0.500 (multiplicity 4)
Sb: 0.178 0.250 0.625 (multiplicity 8)

=====

10.
Density functional theory data (GGA-PBE) for a geometry-optimized In2AgPt structure.

Values from the calculation:
* calculated volume: 19.8 Å³ per atom
* magnetic moment: 0.000 μB/cell
* E above lowest polymorph: 0.184 eV/atom
* energy of formation from the pure elements: -0.02 eV per atom

Unit cell a=6.821 b=6.821 c=6.821 alpha=90.00 beta=90.00 gamma=90.00
Space group F-43m (No. 216)
Symmetry-distinct sites (fractional):
In: 0.000 0.000 0.000 (multiplicity 4)
In: 0.250 0.250 0.250 (multiplicity 4)
Ag: 0.000 0.000 0.500 (multiplicity 4)
Pt: 0.250 0.250 0.750 (multiplicity 4)

=====

11.
Density functional theory data (GGA-PBE) for a geometry-optimized Zn2TeP structure.

Values from the calculation:
* calculated volume: 19.5 Å³ per atom
* magnetic moment: 0.000 μB/cell
* E above lowest polymorph: 0.619 eV/atom
* formation energy (no corrections): 0.45 eV per atom

Unit cell a=6.786 b=6.786 c=6.786 alpha=90.00 beta=90.00 gamma=90.00
Space group F-43m (No. 216)
Symmetry-distinct sites (fractional):
Zn: 0.000 0.000 0.000 (multiplicity 4)
Zn: 0.250 0.250 0.250 (multiplicity 4)
Te: 0.000 0.000 0.500 (multiplicity 4)
P: 0.250 0.250 0.750 (multiplicity 4)

=====

12.
Density functional theory data (GGA-PBE) for a geometry-optimized Sm3ThAu2 structure.

Values from the calculation:
* calculated volume: 27.3 Å³ per atom
* magnetic moment: 0.000 μB/cell
* energy of formation from the pure elements: -0.52 eV per atom

Unit cell a=3.674 b=3.674 c=12.147 alpha=90.00 beta=90.00 gamma=90.00
Space group P4/mmm (No. 123)
Symmetry-distinct sites (fractional):
Sm: 0.000 0.000 0.000 (multiplicity 1)
Sm: 0.000 0.000 0.301 (multiplicity 2)
Th: 0.500 0.500 0.500 (multiplicity 1)
Au: 0.500 0.500 0.149 (multiplicity 2)

=====

13.
Density functional theory data (GGA-PBE) for a geometry-optimized Ac3Pr2Au2 structure.

Values from the calculation:
* calculated volume: 35.0 Å³ per atom
* magnetic moment: 0.000 μB/cell
* energy of formation from the pure elements: -0.43 eV per atom

Unit cell a=4.049 b=7.084 c=9.499 alpha=101.52 beta=102.30 gamma=106.59
Space group P-1 (No. 2)
Symmetry-distinct sites (fractional):
Ac: 0.000 0.000 0.000 (multiplicity 1)
Ac: 0.329 0.215 0.440 (multiplicity 2)
Pr: 0.157 0.494 0.819 (multiplicity 2)
Au: 0.446 0.119 0.774 (multiplicity 2)

=====

14.
Density functional theory data (GGA-PBE) for a geometry-optimized Al2SiAg2 structure.

Values from the calculation:
* calculated volume: 17.9 Å³ per atom
* magnetic moment: 0.000 μB/cell
* E above lowest polymorph: 0.000 eV/atom
* formation energy (no corrections): 0.22 eV per atom

Unit cell a=8.019 b=8.019 c=2.781 alpha=90.00 beta=90.00 gamma=90.00
Space group P4/mbm (No. 127)
Symmetry-distinct sites (fractional):
Al: 0.126 0.374 0.000 (multiplicity 4)
Si: 0.000 0.000 0.000 (multiplicity 2)
Ag: 0.173 0.673 0.500 (multiplicity 4)

=====

15.
Density functional theory data (GGA-PBE) for a geometry-optimized KVSe2 structure.

Values from the calculation:
* calculated volume: 33.6 Å³ per atom
* magnetic moment: 8.003 μB/cell
* formation energy (no corrections): -0.69 eV per atom

Unit cell a=6.314 b=7.828 c=10.881 alpha=90.00 beta=90.00 gamma=90.00
Space group Pnma (No. 62)
Symmetry-distinct sites (fractional):
K: 0.198 0.250 0.093 (multiplicity 4)
V: 0.046 0.750 0.250 (multiplicity 4)
Se: 0.205 0.029 0.820 (multiplicity 8)

=====

16.
Density functional theory data (GGA-PBE) for a geometry-optimized RbLa2Br6 structure.

Values from the calculation:
* calculated volume: 35.3 Å³ per atom
* magnetic moment: 1.882 μB/cell
* formation energy (no corrections): -1.86 eV per atom

Unit cell a=17.565 b=10.341 c=7.238 alpha=90.00 beta=104.67 gamma=90.00
Space group C2/c (No. 15)
Symmetry-distinct sites (fractional):
Rb: 0.000 0.249 0.250 (multiplicity 4)
La: 0.250 0.003 0.001 (multiplicity 8)
Br: 0.113 0.065 0.665 (multiplicity 8)
Br: 0.113 0.435 0.662 (multiplicity 8)
Br: 0.202 0.250 0.223 (multiplicity 8)

=====

17.
Density functional theory data (GGA-PBE) for a geometry-optimized ZnPd5Au2 structure.

Values from the calculation:
* calculated volume: 15.9 Å³ per atom
* magnetic moment: 0.000 μB/cell
* E above lowest polymorph: 0.014 eV/atom
* energy of formation from the pure elements: -0.18 eV per atom

Unit cell a=5.693 b=5.693 c=7.827 alpha=90.00 beta=90.00 gamma=90.00
Space group I4/mmm (No. 139)
Symmetry-distinct sites (fractional):
Zn: 0.000 0.000 0.000 (multiplicity 2)
Pd: 0.000 0.000 0.500 (multiplicity 2)
Pd: 0.250 0.250 0.250 (multiplicity 8)
Au: 0.000 0.500 0.000 (multiplicity 4)

=====

18.
Density functional theory data (GGA-PBE) for a geometry-optimized Ac2GaBr structure.

Values from the calculation:
* calculated volume: 34.3 Å³ per atom
* magnetic moment: 0.000 μB/cell
* E above lowest polymorph: 0.000 eV/atom
* formation energy (no corrections): -0.92 eV per atom

Unit cell a=6.439 b=6.439 c=13.244 alpha=90.00 beta=90.00 gamma=90.00
Space group Pmna (No. 53)
Symmetry-distinct sites (fractional):
Ac: 0.000 0.249 0.116 (multiplicity 4)
Ac: 0.000 0.251 0.634 (multiplicity 4)
Ga: 0.000 0.251 0.875 (multiplicity 4)
Br: 0.000 0.249 0.375 (multiplicity 4)

=====

19.
Density functional theory data (GGA-PBE) for a geometry-optimized Mg7Cd2Pb3 structure.

Values from the calculation:
* calculated volume: 25.8 Å³ per atom
* magnetic moment: 0.000 μB/cell
* energy of formation from the pure elements: 0.06 eV per atom

Unit cell a=4.836 b=31.506 c=4.066 alpha=90.00 beta=90.00 gamma=90.00
Space group Cmmm (No. 65)
Symmetry-distinct sites (fractional):
Mg: 0.000 0.000 0.000 (multiplicity 2)
Mg: 0.000 0.073 0.500 (multiplicity 4)
Mg: 0.000 0.225 0.000 (multiplicity 4)
Mg: 0.000 0.418 0.000 (multiplicity 4)
Cd: 0.000 0.137 0.000 (multiplicity 4)
Pb: 0.000 0.321 0.500 (multiplicity 4)
Pb: 0.000 0.500 0.500 (multiplicity 2)

=====

20.
Density functional theory data (GGA-PBE) for a geometry-optimized Sc4BiSbC structure.

Values from the calculation:
* calculated volume: 21.7 Å³ per atom
* magnetic moment: 0.003 μB/cell
* formation energy (no corrections): -0.77 eV per atom

Unit cell a=6.358 b=14.995 c=6.359 alpha=90.00 beta=90.00 gamma=90.00
Space group Cmcm (No. 63)
Symmetry-distinct sites (fractional):
Sc: 0.000 0.098 0.250 (multiplicity 4)
Sc: 0.000 0.399 0.250 (multiplicity 4)
Sc: 0.250 0.250 0.000 (multiplicity 8)
Bi: 0.000 0.399 0.750 (multiplicity 4)
Sb: 0.000 0.106 0.750 (multiplicity 4)
C: 0.000 0.249 0.250 (multiplicity 4)

=====

21.
Density functional theory data (GGA-PBE) for a geometry-optimized BeCd2Hg2 structure.

Values from the calculation:
* calculated volume: 22.1 Å³ per atom
* magnetic moment: 0.000 μB/cell
* E above lowest polymorph: 0.000 eV/atom
* energy of formation from the pure elements: 0.30 eV per atom

Unit cell a=6.695 b=6.695 c=4.937 alpha=90.00 beta=90.00 gamma=90.00
Space group P4/mbm (No. 127)
Symmetry-distinct sites (fractional):
Be: 0.000 0.000 0.000 (multiplicity 2)
Cd: 0.156 0.344 0.500 (multiplicity 4)
Hg: 0.176 0.676 0.000 (multiplicity 4)

=====

22.
Density functional theory data (GGA-PBE) for a geometry-optimized YAlSb2Te structure.

Values from the calculation:
* calculated volume: 29.7 Å³ per atom
* magnetic moment: 0.000 μB/cell
* E above lowest polymorph: 0.000 eV/atom
* formation energy (no corrections): 0.04 eV per atom

Unit cell a=5.244 b=5.244 c=5.408 alpha=90.00 beta=90.00 gamma=90.00
Space group P4/mmm (No. 123)
Symmetry-distinct sites (fractional):
Y: 0.000 0.000 0.000 (multiplicity 1)
Al: 0.500 0.500 0.500 (multiplicity 1)
Sb: 0.000 0.500 0.500 (multiplicity 2)
Te: 0.500 0.500 0.000 (multiplicity 1)